No. 1
This record from the Alexandria database describes crystalline Er3ScRh8 at its relaxed geometry. The functional is GGA-PBE.

Output
For the calculated total energy, the calculation gives -7.314 eV/atom. Its density of states at the Fermi level is 0.614 states/eV per atom. Its space group is No. 160. For the total moment, the calculation gives 0.0 μB per formula unit. The formation energy is -0.745 eV per atom.

abc: 5.287 5.287 9.156
angles: 73.22 73.22 60.00
Fractional positions:
Er 0.375 0.375 0.874
Er 0.998 0.998 0.005
Er 0.502 0.502 0.495
Sc 0.874 0.874 0.378
Rh 0.937 0.437 0.190
Rh 0.439 0.938 0.685
Rh 0.437 0.437 0.190
Rh 0.938 0.938 0.685
Rh 0.188 0.188 0.437
Rh 0.688 0.688 0.937
Rh 0.437 0.937 0.190
Rh 0.938 0.439 0.685



No. 2
This record from the Alexandria database describes crystalline LaBeNb2Te at its relaxed geometry. The functional is GGA-PBE.

Output
The calculation puts the uncorrected formation energy at 0.3170 eV/atom. For the calculated total energy, the calculation gives -6.070 eV/atom. Its density of states at the Fermi level is 1.547 states/eV per atom. Its space group is No. 123. For the total moment, the calculation gives 0.0 μB per formula unit.

abc: 4.554 5.418 4.554
angles: 90.00 90.00 90.00
Fractional positions:
Be 0.000 0.000 0.000
Nb 0.000 0.000 0.500
Nb 0.500 0.000 0.000
Te 0.500 0.500 0.500
La 0.000 0.500 0.000



No. 3
This record from the Alexandria database describes crystalline Sm5Dy2Tm5 at its relaxed geometry. The functional is GGA-PBE.

Output
For the calculated total energy, the calculation gives -4.575 eV/atom. Its density of states at the Fermi level is 1.436 states/eV per atom. Its space group is No. 12. For the total moment, the calculation gives 0.0 μB per formula unit. The formation energy is 0.021 eV per atom.

abc: 5.018 7.940 10.680
angles: 72.75 76.41 71.58
Fractional positions:
Sm 0.500 0.500 0.500
Sm 0.334 0.332 0.999
Sm 0.416 0.918 0.251
Sm 0.584 0.082 0.749
Sm 0.666 0.668 0.001
Dy 0.917 0.418 0.748
Dy 0.083 0.582 0.252
Tm 0.832 0.835 0.501
Tm 0.251 0.751 0.748
Tm 0.749 0.249 0.252
Tm 0.168 0.165 0.499
Tm 0.000 0.000 0.000



No. 4
This record from the Alexandria database describes crystalline KGeBr3 at its relaxed geometry. The functional is GGA-PBE.

Output
The calculation puts the uncorrected formation energy at -1.0192 eV/atom. For the calculated total energy, the calculation gives -3.166 eV/atom. Its density of states at the Fermi level is 0.000 states/eV per atom. Its space group is No. 1. For the total moment, the calculation gives 0.0 μB per formula unit.

abc: 7.537 5.700 6.021
angles: 93.60 129.83 88.47
Fractional positions:
K 0.432 0.364 0.189
Ge 0.863 0.853 0.990
Br 0.758 0.865 0.314
Br 0.855 0.397 0.913
Br 0.300 0.884 0.394



No. 5
This record from the Alexandria database describes crystalline HfTaCr3 at its relaxed geometry. The functional is GGA-PBE.

Output
For the calculated total energy, the calculation gives -8.771 eV/atom. Its density of states at the Fermi level is 1.594 states/eV per atom. Its space group is No. 221. Its polymorph energy (0 for the lowest one) is 0.000 eV/atom. For the total moment, the calculation gives 6.3 μB per formula unit. The formation energy is 1.364 eV per atom.

abc: 4.592 4.592 4.592
angles: 90.00 90.00 90.00
Site moments in Bohr magnetons follow the coordinates.
Fractional positions:
Cr 0.000 0.500 0.000  2.23
Cr 0.000 0.000 0.500  1.99
Cr 0.500 0.000 0.000  2.44
Hf 0.500 0.500 0.500  -0.24
Ta 0.000 0.000 0.000  -0.41



No. 6
This record from the Alexandria database describes crystalline Sm4Zn2I5 at its relaxed geometry. The functional is GGA-PBE.

Output
The calculation puts the uncorrected formation energy at -0.8306 eV/atom. For the calculated total energy, the calculation gives -3.483 eV/atom. Its density of states at the Fermi level is 0.584 states/eV per atom. Its space group is No. 12. For the total moment, the calculation gives 0.0 μB per formula unit.

abc: 4.068 8.659 12.438
angles: 87.50 99.41 90.00
Fractional positions:
Sm 0.665 0.561 0.330
Sm 0.027 0.710 0.054
Sm 0.335 0.439 0.670
Sm 0.973 0.290 0.946
Zn 0.551 0.475 0.102
Zn 0.449 0.525 0.898
I 0.147 0.836 0.294
I 0.853 0.164 0.706
I 0.212 0.309 0.423
I 0.500 0.000 0.000
I 0.788 0.691 0.577



No. 7
This record from the Alexandria database describes crystalline Pm5Sm3Dy2 at its relaxed geometry. The functional is GGA-PBE.

Output
For the calculated total energy, the calculation gives -4.528 eV/atom. Its density of states at the Fermi level is 1.814 states/eV per atom. Its space group is No. 15. For the total moment, the calculation gives 0.0 μB per formula unit. The formation energy is 0.183 eV per atom.

abc: 10.016 9.998 11.283
angles: 128.89 128.93 65.40
Fractional positions:
Pm 0.272 0.522 0.045
Pm 0.728 0.478 0.955
Pm 0.020 0.770 0.540
Pm 0.523 0.273 0.547
Pm 0.980 0.230 0.460
Pm 0.477 0.727 0.453
Pm 0.864 0.618 0.749
Pm 0.136 0.382 0.251
Pm 0.385 0.131 0.749
Pm 0.615 0.869 0.251
Sm 0.229 0.979 0.959
Sm 0.771 0.021 0.041
Sm 0.726 0.468 0.248
Sm 0.274 0.532 0.752
Sm 0.022 0.781 0.248
Sm 0.978 0.219 0.752
Dy 0.782 0.023 0.750
Dy 0.218 0.977 0.250
Dy 0.468 0.727 0.750
Dy 0.532 0.273 0.250



No. 8
This record from the Alexandria database describes crystalline Na3Cd2Hg3 at its relaxed geometry. The functional is GGA-PBE.

Output
For the calculated total energy, the calculation gives -1.012 eV/atom. Its density of states at the Fermi level is 0.249 states/eV per atom. Its space group is No. 193. Its polymorph energy (0 for the lowest one) is 0.000 eV/atom. For the total moment, the calculation gives 0.0 μB per formula unit. The formation energy is -0.175 eV per atom.

abc: 5.908 9.092 9.092
angles: 120.00 90.00 90.00
Fractional positions:
Na 0.750 0.256 0.000
Na 0.750 0.744 0.744
Na 0.750 0.000 0.256
Na 0.250 0.744 0.000
Na 0.250 0.256 0.256
Na 0.250 0.000 0.744
Cd 0.000 0.333 0.667
Cd 0.500 0.667 0.333
Cd 0.000 0.667 0.333
Cd 0.500 0.333 0.667
Hg 0.750 0.609 0.000
Hg 0.750 0.391 0.391
Hg 0.750 0.000 0.609
Hg 0.250 0.391 0.000
Hg 0.250 0.609 0.609
Hg 0.250 0.000 0.391



No. 9
This record from the Alexandria database describes crystalline LuZrTi at its relaxed geometry. The functional is GGA-PBE.

Output
For the calculated total energy, the calculation gives -6.833 eV/atom. Its density of states at the Fermi level is 1.521 states/eV per atom. Its space group is No. 187. For the total moment, the calculation gives 0.0 μB per formula unit. The formation energy is 0.155 eV per atom.

abc: 3.174 4.960 4.960
angles: 120.00 90.00 90.00
Fractional positions:
Lu 0.166 0.000 0.000
Zr 0.667 0.667 0.333
Ti 0.167 0.333 0.667



No. 10
This record from the Alexandria database describes crystalline SrNClO2 at its relaxed geometry. The functional is GGA-PBE.

Output
The calculation puts the uncorrected formation energy at 0.0871 eV/atom. For the calculated total energy, the calculation gives -4.267 eV/atom. Its density of states at the Fermi level is 0.121 states/eV per atom. Its space group is No. 123. For the total moment, the calculation gives 0.0 μB per formula unit.

abc: 4.214 4.214 3.546
angles: 90.00 90.00 90.00
Fractional positions:
Sr 0.500 0.500 0.500
N 0.000 0.000 0.500
O 0.000 0.500 0.000
O 0.500 0.000 0.000
Cl 0.000 0.000 0.000



No. 11
This record from the Alexandria database describes crystalline HoScInAu at its relaxed geometry. The functional is GGA-PBE.

Output
For the calculated total energy, the calculation gives -4.880 eV/atom. Its density of states at the Fermi level is 0.584 states/eV per atom. Its space group is No. 99. Its polymorph energy (0 for the lowest one) is 0.000 eV/atom. For the total moment, the calculation gives 0.0 μB per formula unit. The formation energy is -0.649 eV per atom.

abc: 3.508 3.508 7.431
angles: 90.00 90.00 90.00
Fractional positions:
Ho 0.000 0.000 0.840
Sc 0.000 0.000 0.379
In 0.500 0.500 0.125
Au 0.500 0.500 0.584



No. 12
This record from the Alexandria database describes crystalline BaAlRu2 at its relaxed geometry. The functional is GGA-PBE.

Output
For the calculated total energy, the calculation gives -5.777 eV/atom. Its density of states at the Fermi level is 0.821 states/eV per atom. Its space group is No. 6. For the total moment, the calculation gives 0.0 μB per formula unit. The formation energy is 0.278 eV per atom.

abc: 4.127 3.055 7.087
angles: 79.34 90.00 90.00
Fractional positions:
Ru 0.000 0.985 0.115
Ru 0.500 0.360 0.212
Ba 0.500 0.753 0.756
Al 0.000 0.402 0.417



No. 13
This record from the Alexandria database describes crystalline CsAg4Pb3Cl12 at its relaxed geometry. The functional is GGA-PBE.

Output
The calculation puts the uncorrected formation energy at -0.8819 eV/atom. For the calculated total energy, the calculation gives -3.159 eV/atom. Its density of states at the Fermi level is 0.515 states/eV per atom. Its space group is No. 155. For the total moment, the calculation gives 0.0 μB per formula unit.

abc: 9.465 9.465 9.465
angles: 106.75 106.75 106.75
Fractional positions:
Cs 0.000 0.000 0.000
Ag 0.919 0.081 0.500
Ag 0.081 0.500 0.919
Ag 0.500 0.919 0.081
Ag 0.500 0.500 0.500
Pb 0.566 0.434 0.000
Pb 0.434 0.000 0.566
Pb 0.000 0.566 0.434
Cl 0.500 0.337 0.663
Cl 0.911 0.500 0.089
Cl 0.089 0.911 0.500
Cl 0.500 0.089 0.911
Cl 0.358 0.991 0.249
Cl 0.249 0.358 0.991
Cl 0.991 0.249 0.358
Cl 0.642 0.751 0.009
Cl 0.009 0.642 0.751
Cl 0.751 0.009 0.642
Cl 0.663 0.500 0.337
Cl 0.337 0.663 0.500



No. 14
This record from the Alexandria database describes crystalline HgPt2Cl at its relaxed geometry. The functional is GGA-PBE.

Output
The calculation puts the uncorrected formation energy at 0.2206 eV/atom. For the calculated total energy, the calculation gives -3.337 eV/atom. Its density of states at the Fermi level is 0.449 states/eV per atom. Its space group is No. 35. Its polymorph energy (0 for the lowest one) is 0.112 eV/atom. For the total moment, the calculation gives 0.0 μB per formula unit.

abc: 3.091 3.091 8.656
angles: 90.00 90.00 111.84
Fractional positions:
Cl 0.000 0.000 0.454
Hg 0.500 0.500 0.769
Pt 0.000 0.000 0.026
Pt 0.500 0.500 0.251



No. 15
This record from the Alexandria database describes crystalline Li2P2I at its relaxed geometry. The functional is GGA-PBE.

Output
The calculation puts the uncorrected formation energy at -0.2938 eV/atom. For the calculated total energy, the calculation gives -3.533 eV/atom. Its density of states at the Fermi level is 0.133 states/eV per atom. Its space group is No. 127. Its polymorph energy (0 for the lowest one) is 0.000 eV/atom. For the total moment, the calculation gives 0.0 μB per formula unit.

abc: 7.854 7.854 3.740
angles: 90.00 90.00 90.00
Fractional positions:
I 0.000 0.000 0.000
I 0.500 0.500 0.000
P 0.409 0.909 0.000
P 0.909 0.591 0.000
P 0.591 0.091 0.000
P 0.091 0.409 0.000
Li 0.166 0.666 0.500
Li 0.666 0.834 0.500
Li 0.834 0.334 0.500
Li 0.334 0.166 0.500



No. 16
This record from the Alexandria database describes crystalline Rb2Te3Pb2 at its relaxed geometry. The functional is GGA-PBE.

Output
The calculation puts the uncorrected formation energy at -0.6312 eV/atom. For the calculated total energy, the calculation gives -3.314 eV/atom. Its space group is No. 2. Its polymorph energy (0 for the lowest one) is 0.024 eV/atom. For the total moment, the calculation gives 0.0 μB per formula unit.

abc: 4.760 8.192 9.179
angles: 102.14 90.09 106.91
Fractional positions:
Rb 0.864 0.729 0.640
Rb 0.136 0.271 0.360
Te 0.000 0.000 0.000
Te 0.777 0.553 0.235
Te 0.223 0.447 0.765
Pb 0.636 0.272 0.939
Pb 0.364 0.728 0.061



No. 17
This record from the Alexandria database describes crystalline TaMnAs2Se at its relaxed geometry. The functional is GGA-PBE.

Output
The calculation puts the uncorrected formation energy at 0.7404 eV/atom. For the calculated total energy, the calculation gives -6.021 eV/atom. Its density of states at the Fermi level is 0.724 states/eV per atom. Its space group is No. 123. Its polymorph energy (0 for the lowest one) is 0.300 eV/atom. For the total moment, the calculation gives 4.4 μB per formula unit.

abc: 4.590 4.590 4.771
angles: 90.00 90.00 90.00
Site moments in Bohr magnetons follow the coordinates.
Fractional positions:
As 0.000 0.500 0.000  -0.10
As 0.500 0.000 0.000  -0.10
Mn 0.000 0.000 0.000  2.54
Se 0.000 0.000 0.500  -0.08
Ta 0.500 0.500 0.500  1.44



No. 18
This record from the Alexandria database describes crystalline RbTl2Ag2 at its relaxed geometry. The functional is GGA-PBE.

Output
For the calculated total energy, the calculation gives -2.258 eV/atom. Its density of states at the Fermi level is 0.411 states/eV per atom. Its space group is No. 139. Its polymorph energy (0 for the lowest one) is 0.000 eV/atom. For the total moment, the calculation gives 0.0 μB per formula unit. The formation energy is 0.022 eV per atom.

abc: 5.304 5.304 6.735
angles: 66.81 66.81 90.00
Fractional positions:
Tl 0.357 0.357 0.285
Tl 0.643 0.643 0.715
Rb 0.000 0.000 0.000
Ag 0.750 0.250 0.500
Ag 0.250 0.750 0.500



No. 19
This record from the Alexandria database describes crystalline TbDy2AgC at its relaxed geometry. The functional is GGA-PBE.

Output
For the calculated total energy, the calculation gives -5.376 eV/atom. Its density of states at the Fermi level is 1.251 states/eV per atom. Its space group is No. 99. For the total moment, the calculation gives 0.0 μB per formula unit. The formation energy is -0.194 eV per atom.

abc: 4.861 4.861 4.994
angles: 90.00 90.00 90.00
Fractional positions:
Tb 0.000 0.000 0.493
Dy 0.000 0.500 0.995
Dy 0.500 0.000 0.995
Ag 0.500 0.500 0.505
C 0.000 0.000 0.012



No. 20
This record from the Alexandria database describes crystalline As4S3 at its relaxed geometry. The functional is GGA-PBE.

Output
The calculation puts the uncorrected formation energy at -0.1168 eV/atom. For the calculated total energy, the calculation gives -4.543 eV/atom. Its density of states at the Fermi level is 0.000 states/eV per atom. Its space group is No. 62. Its polymorph energy (0 for the lowest one) is 0.000 eV/atom. For the total moment, the calculation gives 0.0 μB per formula unit.

abc: 8.963 9.712 10.893
angles: 90.00 90.00 90.00
Fractional positions:
As 0.109 0.155 0.284
As 0.609 0.845 0.716
As 0.391 0.655 0.216
As 0.891 0.345 0.784
As 0.109 0.655 0.216
As 0.609 0.345 0.784
As 0.391 0.155 0.284
As 0.891 0.845 0.716
As 0.250 0.492 0.078
As 0.750 0.508 0.922
As 0.250 0.992 0.422
As 0.750 0.008 0.578
As 0.250 0.834 0.951
As 0.750 0.166 0.049
As 0.250 0.334 0.549
As 0.750 0.666 0.451
S 0.250 0.607 0.901
S 0.750 0.393 0.099
S 0.250 0.107 0.599
S 0.750 0.893 0.401
S 0.940 0.171 0.912
S 0.440 0.829 0.088
S 0.560 0.671 0.588
S 0.060 0.329 0.412
S 0.060 0.829 0.088
S 0.560 0.171 0.912
S 0.440 0.329 0.412
S 0.940 0.671 0.588